Run i
PmPr6Y12 | GGA-PBE | optimized geometry

Its volume is 2045 Å³ per cell.

The space group is R-3m (No. 166, hexagonal axes) and the conventional cell measures 13.7703, 13.7703 and 12.4556 Å, with angles of 90.00, 90.00 and 120.00 degrees. The asymmetric unit holds Pm at (0.0000, 0.0000, 0.0000), Pr at (0.0177, 0.5089, 0.7268), Y at (0.0000, 0.3843, 0.5000) and Y at (0.0946, 0.1892, 0.3607).

=====

Run ii
PmPr6Y12 | GGA-PBE | optimized geometry

Its volume is 1992 Å³ per cell.

The space group is R-3m (No. 166, hexagonal axes) and the conventional cell measures 13.4686, 13.4686 and 12.6774 Å, with angles of 90.00, 90.00 and 120.00 degrees. The asymmetric unit holds Pm at (0.0000, 0.0000, 0.0000), Pr at (0.0390, 0.5195, 0.6178), Y at (0.0000, 0.2571, 0.5000) and Y at (0.0910, 0.1820, 0.2624).

=====

According to the calculations, the structures order from most to least stable as run ii, run i.

=====

Run i
Pm3Pr8Y2 | GGA-PBE | optimized geometry

Its volume is 946 Å³ per cell.

The space group is Cmmm (No. 65) and the conventional cell measures 7.779, 20.720 and 5.868 Å, with angles of 90.00, 90.00 and 90.00 degrees. The asymmetric unit holds Pm at (0.000, 0.000, 0.000), Pm at (0.214, 0.500, 0.500), Pr at (0.000, 0.133, 0.500), Pr at (0.000, 0.327, 0.500), Pr at (0.207, 0.393, 0.000) and Y at (0.000, 0.241, 0.000).

=====

Run ii
Pm3Pr8Y2 | GGA-PBE | optimized geometry

Its volume is 926 Å³ per cell.

The space group is C2/m (No. 12) and the conventional cell measures 13.362, 12.004 and 6.272 Å, with angles of 90.00, 113.00 and 90.00 degrees. The asymmetric unit holds Pm at (0.000, 0.000, 0.000), Pm at (0.000, 0.246, 0.500), Pr at (0.057, 0.500, 0.288), Pr at (0.151, 0.000, 0.550), Pr at (0.172, 0.256, 0.172) and Y at (0.212, 0.500, 0.856).

=====

According to the calculations, the structures order from most to least stable as run ii, run i.

=====

Run i
Pm4PrY7 | GGA-PBE | optimized geometry

Its volume is 829 Å³ per cell.

The space group is C2/m (No. 12) and the conventional cell measures 12.232, 5.944 and 12.858 Å, with angles of 90.00, 117.49 and 90.00 degrees. The asymmetric unit holds Pm at (0.137, 0.000, 0.276), Pm at (0.229, 0.500, 0.171), Pr at (0.000, 0.500, 0.500), Y at (0.000, 0.000, 0.500), Y at (0.067, 0.500, 0.818), Y at (0.133, 0.000, 0.998) and Y at (0.210, 0.500, 0.422).

=====

Run ii
Pm4PrY7 | GGA-PBE | optimized geometry

Its volume is 404 Å³ per cell.

The space group is P-1 (No. 2) and the conventional cell measures 6.620, 6.909 and 9.163 Å, with angles of 85.30, 77.02 and 81.86 degrees. The asymmetric unit holds Pm at (0.139, 0.313, 0.285), Pm at (0.337, 0.885, 0.691), Pr at (0.500, 0.500, 0.000), Y at (0.013, 0.249, 0.951), Y at (0.177, 0.808, 0.361), Y at (0.314, 0.393, 0.617) and Y at (0.500, 0.000, 0.000).

=====

According to the calculations, the structures order from most to least stable as run ii, run i.